1.
Here is crystalline BaCaHf2Mo at its relaxed geometry from Alexandria. Energies are from PBE-GGA.

Geometry as extended XYZ:
```
5
Lattice="-3.721 2.747 2.888 -3.345 -3.424 -1.052 1.428 -2.770 4.475" Properties=species:S:1:pos:R:3 pbc="T T T"
Ca 0.000 0.000 0.000
Hf -1.860 1.374 1.444
Hf 0.714 -1.385 2.237
Mo -1.673 -1.712 -0.526
Ba -2.819 -1.723 3.155
```

Computed properties:
total DFT energy (no corrections) = -25.4 eV/cell
DFT formation energy = 1.8465 eV/atom

---

2.
Here is crystalline Sr2TaMn at its relaxed geometry from Alexandria. Energies are from PBE-GGA.

Geometry as extended XYZ:
```
4
Lattice="-2.088 5.493 -0.402 -2.364 -0.505 5.372 2.824 1.173 1.353" Properties=species:S:1:pos:R:3 pbc="T T T"
Sr -2.226 2.494 2.485
Sr 0.000 0.000 0.000
Ta 0.368 3.333 0.475
Mn 0.230 0.334 3.362
```

Computed properties:
total DFT energy (no corrections) = -19.8 eV/cell
E above lowest polymorph = 675 meV/atom
DFT formation energy = 1.1504 eV/atom

---

3.
Here is crystalline YSiNi4 at its relaxed geometry from Alexandria. Energies are from PBE-GGA.

Geometry as extended XYZ:
```
6
Lattice="-0.290 -2.031 4.417 -4.200 -1.947 1.514 -0.427 -4.832 0.435" Properties=species:S:1:pos:R:3 pbc="T T T"
Y 0.000 0.000 0.000
Ni -1.850 -3.314 2.394
Ni -3.931 -4.279 3.144
Ni -2.061 -5.708 2.610
Ni -1.993 -4.320 4.583
Si -3.688 -6.608 4.774
```

Computed properties:
formation energy (no corrections) = -303 meV/atom
total DFT energy (no corrections) = -36.8 eV/cell
E above lowest polymorph = 303 meV/atom

---

4.
Here is crystalline CaHoCdAu at its relaxed geometry from Alexandria. Energies are from PBE-GGA.

Geometry as extended XYZ:
```
4
Lattice="-3.456 -1.182 0.075 1.091 -3.088 1.618 -0.955 3.224 6.795" Properties=species:S:1:pos:R:3 pbc="T T T"
Ca -1.748 -0.224 4.874
Ho -1.307 -1.713 1.735
Cd -0.831 2.806 5.914
Au -0.319 1.078 2.271
```

Computed properties:
total DFT energy (no corrections) = -13.1 eV/cell
E above lowest polymorph = 0 meV/atom
DFT formation energy = -0.5910 eV/atom

---

5.
Here is crystalline Mg2ZrRu at its relaxed geometry from Alexandria. Energies are from PBE-GGA.

Geometry as extended XYZ:
```
4
Lattice="-0.464 2.796 0.484 -2.075 -1.108 -1.653 -5.146 -2.230 7.955" Properties=species:S:1:pos:R:3 pbc="T T T"
Ru -2.556 0.286 1.404
Mg -2.395 -1.038 3.703
Mg -0.178 -0.077 0.275
Zr -5.129 -0.829 5.382
```

Computed properties:
total DFT energy (no corrections) = -20.4 eV/cell
E above lowest polymorph = 346 meV/atom
DFT formation energy = 0.1512 eV/atom

---

6.
Here is crystalline KPuAgTe3 at its relaxed geometry from Alexandria. Energies are from PBE-GGA.

Geometry as extended XYZ:
```
12
Lattice="-0.870 -4.284 0.873 6.502 -2.627 -6.413 4.773 0.904 9.188" Properties=species:S:1:pos:R:3 pbc="T T T"
Te 3.059 -4.271 -0.841
Te 7.346 -1.735 4.490
Te 6.932 -2.650 -0.410
Te 5.758 -5.438 -3.876
Te 3.474 -3.357 4.059
Te 4.647 -0.569 7.524
Pu 4.948 -2.719 -2.722
Pu 5.458 -3.288 6.371
Ag 7.290 -5.264 -1.496
Ag 3.115 -0.743 5.145
K 8.100 -4.623 2.452
K 2.305 -1.384 1.197
```

Computed properties:
formation energy (no corrections) = -774 meV/atom
total DFT energy (no corrections) = -64.7 eV/cell

---

> Which formula does entry 3 have?

YSiNi4

---

Copy entry 4 word for word.
Here is crystalline CaHoCdAu at its relaxed geometry from Alexandria. Energies are from PBE-GGA.

Geometry as extended XYZ:
```
4
Lattice="-3.456 -1.182 0.075 1.091 -3.088 1.618 -0.955 3.224 6.795" Properties=species:S:1:pos:R:3 pbc="T T T"
Ca -1.748 -0.224 4.874
Ho -1.307 -1.713 1.735
Cd -0.831 2.806 5.914
Au -0.319 1.078 2.271
```

Computed properties:
total DFT energy (no corrections) = -13.1 eV/cell
E above lowest polymorph = 0 meV/atom
DFT formation energy = -0.5910 eV/atom

---

> Which of these has the lowest total DFT energy (no corrections)?

KPuAgTe3

---

> What is the total DFT energy (no corrections) in the sixth record?

-64.7 eV/cell